Record 1
A relaxed structure of CeSm5Se8, computed with PBE.

Cell: 7.6831 7.6831 7.6831 Å, 109.59 109.23 109.59°
Atoms (fractional coordinates):
Ce (0.2500, 0.5000, 0.7500)
Sm (0.9932, 0.3664, 0.1275)
Sm (0.8725, 0.8657, 0.2389)
Sm (0.7611, 0.6336, 0.6268)
Sm (0.5000, 0.0000, 0.5000)
Sm (0.3732, 0.1343, 0.0068)
Se (0.1251, 0.7501, 0.0236)
Se (0.9764, 0.1015, 0.7265)
Se (0.7688, 0.2480, 0.3729)
Se (0.6271, 0.3959, 0.8751)
Se (0.4792, 0.6041, 0.2312)
Se (0.6250, 0.8985, 0.8749)
Se (0.2735, 0.2499, 0.3750)
Se (0.1249, 0.7520, 0.5208)

Calculated values
**E_tot**: -5.936 eV/atom
**Calculated volume**: 24.9 A^3/atom
**Space-group type**: I-4
**Uncorrected formation energy**: -1.836 eV/atom


Record 2
A relaxed structure of Zn5Os, computed with PBE.

Cell: 2.7018 5.2297 6.5709 Å, 75.53 90.00 104.97°
Atoms (fractional coordinates):
Os (0.9963, 0.9925, 0.0074)
Zn (0.3949, 0.7898, 0.7236)
Zn (0.6655, 0.3311, 0.6687)
Zn (0.0554, 0.1108, 0.3860)
Zn (0.3341, 0.6681, 0.3318)
Zn (0.7205, 0.4410, 0.0491)

Calculated values
**E_tot**: -2.850 eV/atom
**Calculated volume**: 14.4 A^3/atom
**Energy above the lowest structure with this stoichiometry**: 0.031 eV per formula unit
**Space-group type**: Cm
**E_form**: 0.084 eV per atom


Record 3
A relaxed structure of Cs2GeRhS4, computed with PBE.

Cell: 6.6612 7.1542 12.7696 Å, 83.03 74.88 62.25°
Atoms (fractional coordinates):
Cs (0.1793, 0.0000, 0.6414)
Cs (0.8207, 0.0000, 0.3586)
Cs (0.5707, 0.5000, 0.8586)
Cs (0.9293, 0.5000, 0.1414)
Ge (0.2500, 0.5000, 0.5000)
Ge (0.5000, 0.0000, 0.0000)
Rh (0.7500, 0.5000, 0.5000)
Rh (0.0000, 0.0000, 0.0000)
S (0.2753, 0.8564, 0.1056)
S (0.2373, 0.1436, 0.8944)
S (0.8683, 0.8564, 0.8944)
S (0.6191, 0.1436, 0.1056)
S (0.4747, 0.6436, 0.3944)
S (0.5127, 0.3564, 0.6056)
S (0.8817, 0.6436, 0.6056)
S (0.1309, 0.3564, 0.3944)

Calculated values
**E_tot**: -4.449 eV/atom
**Calculated volume**: 32.5 A^3/atom
**Space-group type**: Fddd
**Uncorrected formation energy**: -0.676 eV/atom


Record 4
A relaxed structure of La4SnHgN, computed with PBE.

Cell: 7.0680 7.0904 9.0926 Å, 90.00 112.87 90.00°
Atoms (fractional coordinates):
La (0.9268, 0.2500, 0.8536)
La (0.4145, 0.7500, 0.8290)
La (0.0732, 0.7500, 0.1464)
La (0.5855, 0.2500, 0.1710)
La (0.5000, 0.5000, 0.5000)
La (0.0000, 0.0000, 0.5000)
La (0.5000, 0.0000, 0.5000)
La (0.0000, 0.5000, 0.5000)
Sn (0.6116, 0.7500, 0.2233)
Sn (0.3884, 0.2500, 0.7767)
Hg (0.1147, 0.2500, 0.2294)
Hg (0.8853, 0.7500, 0.7706)
N (0.2664, 0.7500, 0.5327)
N (0.7336, 0.2500, 0.4673)

Calculated values
**E_tot**: -5.404 eV/atom
**Calculated volume**: 30.0 A^3/atom
**Space-group type**: Cmcm
**Uncorrected formation energy**: -0.784 eV/atom


Record 5
A relaxed structure of Sr3Ga4Ge2, computed with PBE.

Cell: 4.3467 6.4276 8.8375 Å, 95.63 90.00 109.76°
Atoms (fractional coordinates):
Sr (0.6695, 0.3390, 0.6648)
Sr (0.0000, 0.0000, 0.0000)
Sr (0.3305, 0.6610, 0.3352)
Ga (0.7348, 0.4696, 0.0614)
Ga (0.2652, 0.5304, 0.9386)
Ga (0.9588, 0.9175, 0.6233)
Ga (0.0412, 0.0825, 0.3767)
Ge (0.6166, 0.2332, 0.2813)
Ge (0.3834, 0.7668, 0.7187)

Calculated values
**E_tot**: -3.473 eV/atom
**Calculated volume**: 25.7 A^3/atom
**Space-group type**: C2/m
**E_form**: -0.541 eV per atom


Record 6
A relaxed structure of Tm2ThBi2, computed with PBE.

Cell: 5.2759 5.2759 6.4179 Å, 71.32 71.32 65.63°
Atoms (fractional coordinates):
Tm (0.2110, 0.7110, 0.3729)
Tm (0.7890, 0.2890, 0.6271)
Th (0.0000, 0.5000, 0.0000)
Bi (0.6013, 0.1013, 0.2100)
Bi (0.3987, 0.8987, 0.7900)

Calculated values
**E_tot**: -5.175 eV/atom
**Calculated volume**: 30.1 A^3/atom
**Space-group type**: C2/m
**E_form**: -0.350 eV per atom


Record 7
A relaxed structure of Yb2MgS4, computed with PBE.

Cell: 6.6139 7.8774 13.2064 Å, 90.00 90.00 90.00°
Atoms (fractional coordinates):
Yb (0.5000, 0.0000, 0.0000)
Yb (0.0000, 0.0000, 0.5000)
Yb (0.0000, 0.5000, 0.5000)
Yb (0.5000, 0.5000, 0.0000)
Yb (0.9870, 0.7500, 0.2296)
Yb (0.0130, 0.2500, 0.7704)
Yb (0.4870, 0.2500, 0.2704)
Yb (0.5130, 0.7500, 0.7296)
Mg (0.9188, 0.2500, 0.1012)
Mg (0.0812, 0.7500, 0.8988)
Mg (0.4188, 0.7500, 0.3988)
Mg (0.5812, 0.2500, 0.6012)
S (0.7301, 0.0095, 0.1733)
S (0.2699, 0.9905, 0.8267)
S (0.2301, 0.9905, 0.3267)
S (0.7699, 0.0095, 0.6733)
S (0.7699, 0.4905, 0.6733)
S (0.2301, 0.5095, 0.3267)
S (0.2699, 0.5095, 0.8267)
S (0.7301, 0.4905, 0.1733)
S (0.2448, 0.7500, 0.0679)
S (0.7552, 0.2500, 0.9321)
S (0.7448, 0.2500, 0.4321)
S (0.2552, 0.7500, 0.5679)
S (0.2815, 0.2500, 0.0885)
S (0.7185, 0.7500, 0.9115)
S (0.7815, 0.7500, 0.4115)
S (0.2185, 0.2500, 0.5885)

Calculated values
**E_tot**: -4.521 eV/atom
**Calculated volume**: 24.6 A^3/atom
**Energy above the lowest structure with this stoichiometry**: 0.137 eV per formula unit
**Space-group type**: Pnma
**Uncorrected formation energy**: -1.499 eV/atom


Record 8
A relaxed structure of AcHgS, computed with PBE.

Cell: 4.2839 4.2839 9.3181 Å, 90.00 90.00 90.00°
Atoms (fractional coordinates):
Hg (0.0000, 0.0000, 0.0000)
Hg (0.5000, 0.5000, 0.0000)
S (0.0000, 0.5000, 0.3572)
S (0.5000, 0.0000, 0.6428)
Ac (0.0000, 0.5000, 0.6807)
Ac (0.5000, 0.0000, 0.3193)

Calculated values
**E_tot**: -4.167 eV/atom
**Calculated volume**: 28.5 A^3/atom
**Energy above the lowest structure with this stoichiometry**: 0.000 eV per formula unit
**Space-group type**: P4/nmm
**Uncorrected formation energy**: -1.322 eV/atom


Record 9
A relaxed structure of CuSbTe, computed with PBE.

Cell: 4.1674 5.2166 7.6619 Å, 89.90 90.00 89.98°
Atoms (fractional coordinates):
Cu (0.2527, 0.2804, 0.1756)
Cu (0.7528, 0.7805, 0.8286)
Sb (0.7529, 0.2727, 0.9624)
Sb (0.2528, 0.7725, 0.0416)
Te (0.7527, 0.2000, 0.3650)
Te (0.2530, 0.7034, 0.6387)

Calculated values
**E_tot**: -3.708 eV/atom
**Calculated volume**: 27.8 A^3/atom
**Space-group type**: Pm
**Uncorrected formation energy**: 0.078 eV/atom


Record 10
A relaxed structure of SrP2Br, computed with PBE.

Cell: 5.7115 5.7115 5.7115 Å, 143.10 118.44 73.98°
Atoms (fractional coordinates):
Br (0.2337, 0.7337, 0.5000)
P (0.9526, 0.9526, 0.0000)
P (0.8070, 0.3070, 0.5000)
Sr (0.5067, 0.5067, 0.0000)

Calculated values
**E_tot**: -4.255 eV/atom
**Calculated volume**: 24.1 A^3/atom
**Energy above the lowest structure with this stoichiometry**: 0.463 eV per formula unit
**Space-group type**: Imm2
**Uncorrected formation energy**: -0.711 eV/atom


Record 11
A relaxed structure of ZrHgNF2, computed with PBE.

Cell: 4.4280 4.4280 4.2344 Å, 90.00 90.00 90.00°
Atoms (fractional coordinates):
N (0.0000, 0.0000, 0.5000)
Hg (0.0000, 0.0000, 0.0000)
Zr (0.5000, 0.5000, 0.5000)
F (0.0000, 0.5000, 0.0000)
F (0.5000, 0.0000, 0.0000)

Calculated values
**E_tot**: -4.199 eV/atom
**Calculated volume**: 16.6 A^3/atom
**Energy above the lowest structure with this stoichiometry**: 8.134 eV per formula unit
**Space-group type**: P4/mmm
**Uncorrected formation energy**: -0.015 eV/atom


Record 12
A relaxed structure of AcCe3Al8, computed with PBE.

Cell: 5.7091 5.7091 9.2179 Å, 90.00 90.00 120.00°
Atoms (fractional coordinates):
Ac (0.0000, 0.0000, 0.5705)
Ce (0.6667, 0.3333, 0.4076)
Ce (0.6667, 0.3333, 0.0855)
Ce (0.0000, 0.0000, 0.9317)
Al (0.3333, 0.6667, 0.4949)
Al (0.3333, 0.6667, 0.0018)
Al (0.5053, 0.0105, 0.7588)
Al (0.5053, 0.4947, 0.7588)
Al (0.9895, 0.4947, 0.7588)
Al (0.1622, 0.3244, 0.2439)
Al (0.1622, 0.8378, 0.2439)
Al (0.6756, 0.8378, 0.2439)

Calculated values
**E_tot**: -4.734 eV/atom
**Calculated volume**: 21.7 A^3/atom
**Energy above the lowest structure with this stoichiometry**: 0.080 eV per formula unit
**Space-group type**: P3m1
**E_form**: -0.413 eV per atom


Record 13
A relaxed structure of LiErSn2, computed with PBE.

Cell: 5.1711 5.1711 5.1711 Å, 60.00 60.00 60.00°
Atoms (fractional coordinates):
Li (0.5000, 0.5000, 0.5000)
Sn (0.2500, 0.2500, 0.2500)
Sn (0.7500, 0.7500, 0.7500)
Er (0.0000, 0.0000, 0.0000)

Calculated values
**E_tot**: -4.012 eV/atom
**Calculated volume**: 24.4 A^3/atom
**Energy above the lowest structure with this stoichiometry**: 0.584 eV per formula unit
**Space-group type**: Fm-3m
**E_form**: -0.392 eV per atom


Record 14
A relaxed structure of Tb2CeNd2Dy2, computed with PBE.

Cell: 5.9624 8.6280 9.6326 Å, 144.78 90.00 110.21°
Atoms (fractional coordinates):
Tb (0.1362, 0.2725, 0.0596)
Tb (0.8638, 0.7275, 0.9404)
Ce (0.0000, 0.0000, 0.5000)
Nd (0.5591, 0.1183, 0.7686)
Nd (0.4409, 0.8817, 0.2314)
Dy (0.7170, 0.4341, 0.3574)
Dy (0.2830, 0.5659, 0.6426)

Calculated values
**E_tot**: -4.694 eV/atom
**Calculated volume**: 32.7 A^3/atom
**Space-group type**: C2/m
**E_form**: 0.154 eV per atom


Record 15
A relaxed structure of GaNiHgC, computed with PBE.

Cell: 3.1073 3.5103 6.1166 Å, 90.00 104.74 90.00°
Atoms (fractional coordinates):
Ni (0.3211, 0.5000, 0.7648)
C (0.9054, 0.5000, 0.9330)
Hg (0.6816, 0.0000, 0.4844)
Ga (0.9828, 0.0000, 0.0878)

Calculated values
**E_tot**: -4.073 eV/atom
**Calculated volume**: 16.1 A^3/atom
**Energy above the lowest structure with this stoichiometry**: 0.215 eV per formula unit
**Space-group type**: Amm2
**E_form**: 0.510 eV per atom


Record 16
A relaxed structure of NaTm2S, computed with PBE.

Cell: 3.6359 3.6359 10.3729 Å, 79.91 79.91 60.00°
Atoms (fractional coordinates):
Na (0.0000, 0.0000, 0.0000)
S (0.5000, 0.5000, 0.5000)
Tm (0.1132, 0.1132, 0.6603)
Tm (0.8868, 0.8868, 0.3397)

Calculated values
**E_tot**: -4.313 eV/atom
**Calculated volume**: 29.1 A^3/atom
**Space-group type**: R-3m
**Uncorrected formation energy**: -0.715 eV/atom


Record 17
A relaxed structure of SmZn10Ga2, computed with PBE.

Cell: 5.6110 6.7468 6.8636 Å, 80.21 65.87 65.43°
Atoms (fractional coordinates):
Sm (0.0000, 0.0000, 0.0000)
Zn (0.3553, 0.6473, 0.6420)
Zn (0.6447, 0.3527, 0.3580)
Zn (0.0027, 0.3527, 0.6420)
Zn (0.9973, 0.6473, 0.3580)
Zn (0.0000, 0.0000, 0.5000)
Zn (0.5000, 0.0000, 0.5000)
Zn (0.2824, 0.2151, 0.2201)
Zn (0.7176, 0.7849, 0.7799)
Zn (0.4975, 0.7849, 0.2201)
Zn (0.5025, 0.2151, 0.7799)
Ga (0.0000, 0.5000, 0.0000)
Ga (0.5000, 0.5000, 0.0000)

Calculated values
**E_tot**: -1.956 eV/atom
**Calculated volume**: 16.6 A^3/atom
**Space-group type**: Fmmm
**E_form**: -0.147 eV per atom


Record 18
A relaxed structure of Sr2CrRh, computed with PBE.

Cell: 5.2142 5.2142 5.2142 Å, 60.00 60.00 60.00°
Atoms (fractional coordinates):
Cr (0.5000, 0.5000, 0.5000)
Rh (0.7500, 0.7500, 0.7500)
Sr (0.0000, 0.0000, 0.0000)
Sr (0.2500, 0.2500, 0.2500)

Calculated values
**E_tot**: -4.623 eV/atom
**Calculated volume**: 25.1 A^3/atom
**Energy above the lowest structure with this stoichiometry**: 1.358 eV per formula unit
**Space-group type**: F-43m
**E_form**: 0.462 eV per atom


Record 19
A relaxed structure of Li2Hg4Pb, computed with PBE.

Cell: 4.8499 3.3264 10.5689 Å, 99.05 103.26 90.00°
Atoms (fractional coordinates):
Li (0.8038, 0.8038, 0.6077)
Li (0.1962, 0.1962, 0.3923)
Hg (0.6698, 0.6698, 0.3395)
Hg (0.3302, 0.3302, 0.6605)
Hg (0.0803, 0.5803, 0.1605)
Hg (0.9197, 0.4197, 0.8395)
Pb (0.5000, 0.0000, 0.0000)

Calculated values
**E_tot**: -1.437 eV/atom
**Calculated volume**: 23.4 A^3/atom
**Space-group type**: Immm
**E_form**: -0.188 eV per atom


Record 20
A relaxed structure of Tb6Dy5Mg2, computed with PBE.

Cell: 3.5333 10.3440 22.4822 Å, 90.00 90.00 90.00°
Atoms (fractional coordinates):
Tb (0.0000, 0.1436, 0.3817)
Tb (0.0000, 0.8564, 0.6183)
Tb (0.0000, 0.6436, 0.1183)
Tb (0.0000, 0.3564, 0.8817)
Tb (0.5000, 0.3309, 0.1336)
Tb (0.5000, 0.6691, 0.8664)
Tb (0.5000, 0.8309, 0.3664)
Tb (0.5000, 0.1691, 0.6336)
Tb (0.0000, 0.5192, 0.3871)
Tb (0.0000, 0.4808, 0.6129)
Tb (0.0000, 0.0192, 0.1129)
Tb (0.0000, 0.9808, 0.8871)
Dy (0.5000, 0.3341, 0.4939)
Dy (0.5000, 0.6659, 0.5061)
Dy (0.5000, 0.8341, 0.0061)
Dy (0.5000, 0.1659, 0.9939)
Dy (0.5000, 0.5779, 0.2511)
Dy (0.5000, 0.4221, 0.7489)
Dy (0.5000, 0.0779, 0.2489)
Dy (0.5000, 0.9221, 0.7511)
Dy (0.5000, 0.5000, 0.0000)
Dy (0.5000, 0.0000, 0.5000)
Mg (0.0000, 0.3281, 0.2603)
Mg (0.0000, 0.6719, 0.7397)
Mg (0.0000, 0.8281, 0.2397)
Mg (0.0000, 0.1719, 0.7603)

Calculated values
**E_tot**: -4.014 eV/atom
**Calculated volume**: 31.6 A^3/atom
**Space-group type**: Pbam
**E_form**: 0.138 eV per atom